SrTaTeI2, relaxed, DFT PBE; space-group type = P4/mmm, No. 123; energy relative to the lowest polymorph listed for this composition = 0.0 meV/atom; uncorrected formation energy = -0.23 eV per atom; crystal system = tetragonal
1.0
5.744 0.000 0.000
0.000 5.744 0.000
0.000 0.000 5.457
Sr Ta Te I
1 1 1 2
Cartesian
0.000 0.000 0.000
2.872 2.872 2.728
2.872 2.872 0.000
0.000 2.872 2.728
2.872 0.000 2.728

=====

Mg2Pd2Au7, relaxed, DFT PBE; space-group type = C2/m, No. 12; energy relative to the lowest polymorph listed for this composition = 104.0 meV/atom; energy of formation = -19.5 kJ/mol of atoms; crystal system = monoclinic
1.0
4.890 -4.149 0.000
4.890 4.149 0.000
-1.063 0.000 5.063
Mg Pd Au
2 2 7
Cartesian
2.008 0.000 1.197
6.708 0.000 3.867
4.890 2.622 0.000
4.890 -2.622 0.000
-0.531 0.000 2.532
1.433 1.498 3.758
1.433 -1.498 3.758
3.853 0.000 3.740
4.863 0.000 1.323
7.283 1.498 1.305
7.283 -1.498 1.305

=====

ZrPPb, relaxed, DFT PBE; space-group type = I4mm, No. 107; energy relative to the lowest polymorph listed for this composition = 0.0 meV/atom; energy of formation = -54.7 kJ/mol of atoms; crystal system = tetragonal
1.0
-1.772 1.772 5.460
1.772 -1.772 5.460
1.772 1.772 -5.460
Zr P Pb
1 1 1
Cartesian
0.000 0.000 0.000
0.000 0.000 4.689
0.000 0.000 7.683

=====

UTcW, relaxed, DFT PBE; space-group type = P4/nmm, No. 129; energy relative to the lowest polymorph listed for this composition = 434.8 meV/atom; energy of formation = 55.8 kJ/mol of atoms; crystal system = tetragonal
1.0
3.691 0.000 0.000
0.000 3.691 0.000
0.000 0.000 7.955
U Tc W
2 2 2
Cartesian
0.923 2.768 0.000
2.768 0.923 0.000
0.923 0.923 2.476
2.768 2.768 5.479
0.923 0.923 5.055
2.768 2.768 2.900